# As2WBr PBEsol optimized geometry
# Final energy: -6.19 eV/atom
# Formation energy without anion corrections: 285 meV per atom
# ΔE to the lowest computed polymorph: 0 kJ/mol of formula units
data_As2WBr
_cell_length_a 3.1410
_cell_length_b 3.1410
_cell_length_c 26.7445
_cell_angle_alpha 90.00
_cell_angle_beta 90.00
_cell_angle_gamma 120.00
_symmetry_space_group_name_H-M 'R 3 m'
_symmetry_Int_Tables_number 160
_symmetry_space_group_name_Hall 'R 3 -2"'
loop_
_atom_site_label
_atom_site_type_symbol
_atom_site_fract_x
_atom_site_fract_y
_atom_site_fract_z
_atom_site_occupancy
As1 As 0.0000 0.0000 0.0000 1
As2 As 0.0000 0.0000 0.2549 1
W1 W 0.0000 0.0000 0.7335 1
Br1 Br 0.0000 0.0000 0.4724 1


# La3PI PBEsol optimized geometry
# Final energy: -5.34 eV/atom
# Formation energy without anion corrections: -623 meV per atom
data_La3PI
_cell_length_a 5.555
_cell_length_b 5.555
_cell_length_c 5.555
_cell_angle_alpha 90.00
_cell_angle_beta 90.00
_cell_angle_gamma 90.00
_symmetry_space_group_name_H-M 'P m -3 m'
_symmetry_Int_Tables_number 221
_symmetry_space_group_name_Hall '-P 4 2 3'
loop_
_atom_site_label
_atom_site_type_symbol
_atom_site_fract_x
_atom_site_fract_y
_atom_site_fract_z
_atom_site_occupancy
La1 La 0.000 0.000 0.500 1
P1 P 0.000 0.000 0.000 1
I1 I 0.500 0.500 0.500 1


# CdTe2Ir PBEsol optimized geometry
# Final energy: -4.13 eV/atom
# Formation energy without anion corrections: 389 meV per atom
data_CdTe2Ir
_cell_length_a 3.0347
_cell_length_b 3.0347
_cell_length_c 35.0330
_cell_angle_alpha 90.00
_cell_angle_beta 90.00
_cell_angle_gamma 120.00
_symmetry_space_group_name_H-M 'R -3 m'
_symmetry_Int_Tables_number 166
_symmetry_space_group_name_Hall '-R 3 2"'
loop_
_atom_site_label
_atom_site_type_symbol
_atom_site_fract_x
_atom_site_fract_y
_atom_site_fract_z
_atom_site_occupancy
Cd1 Cd 0.0000 0.0000 0.0000 1
Te1 Te 0.0000 0.0000 0.4274 1
Ir1 Ir 0.0000 0.0000 0.5000 1


# YZrHg2 PBEsol optimized geometry
# Final energy: -4.63 eV/atom
# Formation enthalpy at 0 K: -0.371 eV/atom
# ΔE to the lowest computed polymorph: 8 kJ/mol of formula units
data_YZrHg2
_cell_length_a 7.124
_cell_length_b 7.124
_cell_length_c 7.124
_cell_angle_alpha 90.00
_cell_angle_beta 90.00
_cell_angle_gamma 90.00
_symmetry_space_group_name_H-M 'F m -3 m'
_symmetry_Int_Tables_number 225
_symmetry_space_group_name_Hall '-F 4 2 3'
loop_
_atom_site_label
_atom_site_type_symbol
_atom_site_fract_x
_atom_site_fract_y
_atom_site_fract_z
_atom_site_occupancy
Y1 Y 0.000 0.000 0.000 1
Zr1 Zr 0.000 0.000 0.500 1
Hg1 Hg 0.250 0.250 0.250 1


# YSc3C PBEsol optimized geometry
# Final energy: -4.99 eV/atom
# Formation enthalpy at 0 K: 2.263 eV/atom
data_YSc3C
_cell_length_a 4.959
_cell_length_b 4.959
_cell_length_c 4.959
_cell_angle_alpha 90.00
_cell_angle_beta 90.00
_cell_angle_gamma 90.00
_symmetry_space_group_name_H-M 'P m -3 m'
_symmetry_Int_Tables_number 221
_symmetry_space_group_name_Hall '-P 4 2 3'
loop_
_atom_site_label
_atom_site_type_symbol
_atom_site_fract_x
_atom_site_fract_y
_atom_site_fract_z
_atom_site_occupancy
Y1 Y 0.000 0.000 0.000 1
Sc1 Sc 0.000 0.000 0.500 1
C1 C 0.500 0.500 0.500 1


# NaSrTiRh2 PBEsol optimized geometry
# Final energy: -5.06 eV/atom
# Formation enthalpy at 0 K: 0.508 eV/atom
data_NaSrTiRh2
_cell_length_a 4.583
_cell_length_b 4.583
_cell_length_c 5.537
_cell_angle_alpha 90.00
_cell_angle_beta 90.00
_cell_angle_gamma 90.00
_symmetry_space_group_name_H-M 'P 4/m m m'
_symmetry_Int_Tables_number 123
_symmetry_space_group_name_Hall '-P 4 2'
loop_
_atom_site_label
_atom_site_type_symbol
_atom_site_fract_x
_atom_site_fract_y
_atom_site_fract_z
_atom_site_occupancy
Na1 Na 0.000 0.000 0.000 1
Sr1 Sr 0.500 0.500 0.000 1
Ti1 Ti 0.500 0.500 0.500 1
Rh1 Rh 0.000 0.500 0.500 1


# TaTlCl2 PBEsol optimized geometry
# Final energy: -4.42 eV/atom
# Formation energy without anion corrections: 382 meV per atom
# ΔE to the lowest computed polymorph: 368 kJ/mol of formula units
data_TaTlCl2
_cell_length_a 5.199
_cell_length_b 5.199
_cell_length_c 3.124
_cell_angle_alpha 90.00
_cell_angle_beta 90.00
_cell_angle_gamma 90.00
_symmetry_space_group_name_H-M 'P 4/m m m'
_symmetry_Int_Tables_number 123
_symmetry_space_group_name_Hall '-P 4 2'
loop_
_atom_site_label
_atom_site_type_symbol
_atom_site_fract_x
_atom_site_fract_y
_atom_site_fract_z
_atom_site_occupancy
Ta1 Ta 0.000 0.000 0.000 1
Tl1 Tl 0.500 0.500 0.000 1
Cl1 Cl 0.000 0.500 0.500 1


# In2TcP PBEsol optimized geometry
# Final energy: -5.26 eV/atom
# Formation enthalpy at 0 K: 0.500 eV/atom
data_In2TcP
_cell_length_a 2.970
_cell_length_b 2.970
_cell_length_c 8.186
_cell_angle_alpha 90.00
_cell_angle_beta 90.00
_cell_angle_gamma 90.00
_symmetry_space_group_name_H-M 'P 4/m m m'
_symmetry_Int_Tables_number 123
_symmetry_space_group_name_Hall '-P 4 2'
loop_
_atom_site_label
_atom_site_type_symbol
_atom_site_fract_x
_atom_site_fract_y
_atom_site_fract_z
_atom_site_occupancy
In1 In 0.000 0.000 0.232 1
Tc1 Tc 0.500 0.500 0.000 1
P1 P 0.500 0.500 0.500 1


# BaCo2Ag PBEsol optimized geometry
# Final energy: -4.54 eV/atom
# Formation enthalpy at 0 K: 0.689 eV/atom
data_BaCo2Ag
_cell_length_a 3.408
_cell_length_b 3.408
_cell_length_c 6.835
_cell_angle_alpha 90.00
_cell_angle_beta 90.00
_cell_angle_gamma 90.00
_symmetry_space_group_name_H-M 'P 4/m m m'
_symmetry_Int_Tables_number 123
_symmetry_space_group_name_Hall '-P 4 2'
loop_
_atom_site_label
_atom_site_type_symbol
_atom_site_fract_x
_atom_site_fract_y
_atom_site_fract_z
_atom_site_occupancy
Ba1 Ba 0.000 0.000 0.000 1
Co1 Co 0.500 0.500 0.342 1
Ag1 Ag 0.000 0.000 0.500 1


# SiTePt2 PBEsol optimized geometry
# Final energy: -6.03 eV/atom
# Formation energy without anion corrections: -227 meV per atom
# ΔE to the lowest computed polymorph: 37 kJ/mol of formula units
data_SiTePt2
_cell_length_a 3.884
_cell_length_b 4.766
_cell_length_c 3.962
_cell_angle_alpha 90.00
_cell_angle_beta 91.67
_cell_angle_gamma 90.00
_symmetry_space_group_name_H-M 'P 1 m 1'
_symmetry_Int_Tables_number 6
loop_
_symmetry_equiv_pos_as_xyz
'x,y,z'
'x,-y,z'
loop_
_atom_site_label
_atom_site_type_symbol
_atom_site_fract_x
_atom_site_fract_y
_atom_site_fract_z
_atom_site_occupancy
Si1 Si 0.000 0.000 0.000 1
Te1 Te 0.675 0.500 0.422 1
Pt1 Pt 0.177 0.500 0.926 1
Pt2 Pt 0.480 0.000 0.637 1


# ScP2Br PBEsol optimized geometry
# Final energy: -5.11 eV/atom
# Formation energy without anion corrections: -93 meV per atom
# ΔE to the lowest computed polymorph: 253 kJ/mol of formula units
data_ScP2Br
_cell_length_a 5.411
_cell_length_b 8.044
_cell_length_c 3.282
_cell_angle_alpha 90.00
_cell_angle_beta 90.00
_cell_angle_gamma 90.00
_symmetry_space_group_name_H-M 'C m m m'
_symmetry_Int_Tables_number 65
_symmetry_space_group_name_Hall '-C 2 2'
loop_
_atom_site_label
_atom_site_type_symbol
_atom_site_fract_x
_atom_site_fract_y
_atom_site_fract_z
_atom_site_occupancy
Sc1 Sc 0.000 0.000 0.000 1
P1 P 0.250 0.250 0.500 1
Br1 Br 0.000 0.500 0.000 1


# LaZnPd3 PBEsol optimized geometry
# Final energy: -5.27 eV/atom
# Formation enthalpy at 0 K: -0.311 eV/atom
data_LaZnPd3
_cell_length_a 4.642
_cell_length_b 4.642
_cell_length_c 4.642
_cell_angle_alpha 90.00
_cell_angle_beta 90.00
_cell_angle_gamma 90.00
_symmetry_space_group_name_H-M 'P m -3 m'
_symmetry_Int_Tables_number 221
_symmetry_space_group_name_Hall '-P 4 2 3'
loop_
_atom_site_label
_atom_site_type_symbol
_atom_site_fract_x
_atom_site_fract_y
_atom_site_fract_z
_atom_site_occupancy
La1 La 0.000 0.000 0.000 1
Zn1 Zn 0.500 0.500 0.500 1
Pd1 Pd 0.000 0.500 0.500 1


# LiZnIn2 PBEsol optimized geometry
# Final energy: -2.47 eV/atom
# Formation enthalpy at 0 K: -0.094 eV/atom
data_LiZnIn2
_cell_length_a 3.075
_cell_length_b 3.075
_cell_length_c 8.358
_cell_angle_alpha 90.00
_cell_angle_beta 90.00
_cell_angle_gamma 90.00
_symmetry_space_group_name_H-M 'P 4/m m m'
_symmetry_Int_Tables_number 123
_symmetry_space_group_name_Hall '-P 4 2'
loop_
_atom_site_label
_atom_site_type_symbol
_atom_site_fract_x
_atom_site_fract_y
_atom_site_fract_z
_atom_site_occupancy
Li1 Li 0.000 0.000 0.000 1
Zn1 Zn 0.000 0.000 0.500 1
In1 In 0.500 0.500 0.258 1


# KSrTl4 PBEsol optimized geometry
# Final energy: -2.44 eV/atom
# Formation enthalpy at 0 K: -0.193 eV/atom
data_KSrTl4
_cell_length_a 9.091
_cell_length_b 9.091
_cell_length_c 9.091
_cell_angle_alpha 90.00
_cell_angle_beta 90.00
_cell_angle_gamma 90.00
_symmetry_space_group_name_H-M 'F -4 3 m'
_symmetry_Int_Tables_number 216
_symmetry_space_group_name_Hall 'F -4 2 3'
loop_
_atom_site_label
_atom_site_type_symbol
_atom_site_fract_x
_atom_site_fract_y
_atom_site_fract_z
_atom_site_occupancy
K1 K 0.000 0.000 0.000 1
Sr1 Sr 0.250 0.250 0.750 1
Tl1 Tl 0.125 0.125 0.375 1